This record from Alexandria describes Co2ReNi after structural relaxation. The functional is PBE-GGA.

Summary:
Space-group type: I-4m2
Energy above the most stable polymorph in this dataset, kJ/mol of formula units: 15
Formation energy, meV/atom: 50
DOS(E_F), states/eV per cell: 5.9
Crystal system: tetragonal

a b c (Å): 4.4446 4.4446 4.4446
angles (deg): 132.89 132.87 68.85
Last column: nearest neighbours and their distance in Å.
Atoms (fractional coordinates):
Re 0.2500 0.7500 0.5000  8 Co 2.51-2.55, 4 Ni 2.55
Ni 0.5000 0.5000 0.0000  8 Co 2.51-2.55, 4 Re 2.55
Co 0.0000 0.0000 0.0000  4 Ni 2.51, 4 Re 2.55, 4 Co 2.55
Co 0.7500 0.2500 0.5000  4 Re 2.51, 4 Ni 2.55, 4 Co 2.55